{
  "formula": "ScTiRu4",
  "functional": "PBE",
  "state": "relaxed",
  "vol_a3_per_cell": 95.84,
  "delta_e_f_ev_per_atom": -0.2402,
  "total_energy_ev_per_atom": -8.795,
  "spacegroup": "F-43m",
  "cell": [[-2.692, 3.524, 2.593], [-3.574, -1.474, 3.382], [0.800, 0.653, 5.032]],
  "species": ["Sc", "Ru", "Ru", "Ru", "Ru", "Ti"],
  "fractional_positions": [[0.250, 0.250, 0.250], [0.625, 0.625, 0.124], [0.625, 0.124, 0.625], [0.625, 0.625, 0.625], [0.124, 0.625, 0.625], [0.000, 0.000, 0.000]]
}